[1]
First-principles (PBE-GGA) data for crystalline Ac12TlGe7 at its relaxed geometry, as listed in Alexandria.

**Volume**: 37.4 A^3/atom
**SG**: R-3 (148)
**Mass density**: 7.6 g/cm³

Cell lengths 10.0240, 10.0240, 10.0240 Å; angles 110.36, 110.36, 110.36 degrees
Atoms (fractional coordinates):
1 Ac 0.0951 0.3862 0.3066
2 Ac 0.1339 0.2768 0.6707
3 Ac 0.2768 0.6707 0.1339
4 Ac 0.3066 0.0951 0.3862
5 Ac 0.3293 0.8661 0.7232
6 Ac 0.3862 0.3066 0.0951
7 Ac 0.6138 0.6934 0.9049
8 Ac 0.6707 0.1339 0.2768
9 Ac 0.6934 0.9049 0.6138
10 Ac 0.7232 0.3293 0.8661
11 Ac 0.8661 0.7232 0.3293
12 Ac 0.9049 0.6138 0.6934
13 Tl 0.0000 0.0000 0.0000
14 Ge 0.0324 0.2879 0.9396
15 Ge 0.0604 0.9676 0.7121
16 Ge 0.2879 0.9396 0.0324
17 Ge 0.5000 0.5000 0.5000
18 Ge 0.7121 0.0604 0.9676
19 Ge 0.9396 0.0324 0.2879
20 Ge 0.9676 0.7121 0.0604

[2]
First-principles (PBE-GGA) data for crystalline KYInHg2 at its relaxed geometry, as listed in Alexandria.

**Volume**: 40.3 A^3/atom
**SG**: P4/mmm (123)
**Mass density**: 5.3 g/cm³

Cell lengths 5.7708, 5.7708, 6.0553 Å; angles 90.00, 90.00, 90.00 degrees
Atoms (fractional coordinates):
1 K 0.0000 0.0000 0.0000
2 Y 0.5000 0.5000 0.0000
3 In 0.5000 0.5000 0.5000
4 Hg 0.0000 0.5000 0.5000
5 Hg 0.5000 0.0000 0.5000

[3]
First-principles (PBE-GGA) data for crystalline PrTmMgAu at its relaxed geometry, as listed in Alexandria.

**Volume**: 25.9 A^3/atom
**SG**: F-43m (216)
**Mass density**: 8.5 g/cm³

Cell lengths 5.2702, 5.2702, 5.2702 Å; angles 60.00, 60.00, 60.00 degrees
Atoms (fractional coordinates):
1 Pr 0.0000 0.0000 0.0000
2 Tm 0.5000 0.5000 0.5000
3 Mg 0.7500 0.7500 0.7500
4 Au 0.2500 0.2500 0.2500

no.,DFT formation energy (eV per atom)
1,-0.35
2,0.26
3,-0.37